1.
Computed, not measured: a relaxed structure of CrPb3 at the PBEsol level of DFT.

Calculated values
Total moment, μB per formula unit: 4.32
Energy of formation from the pure elements, meV/atom: 467
DFT total energy, eV/atom: -5.09

a = 3.494 Å, b = 5.549 Å, c = 5.549 Å
α = 105.85°, β = 90.00°, γ = 90.00°
Each line ends with the local moment (μB).
Fractional coordinates of all 4 atoms:
Pb 0.500 0.000 0.500  -0.03
Pb 0.500 0.500 0.000  -0.03
Pb 0.000 0.500 0.500  0.00
Cr 0.000 0.000 0.000  3.90

2.
Computed, not measured: a relaxed structure of CrPd3Pb at the PBEsol level of DFT.

Calculated values
Total moment, μB per formula unit: 2.86
Energy of formation from the pure elements, meV/atom: 701
DFT total energy, eV/atom: -5.72

a = 4.622 Å, b = 4.622 Å, c = 4.622 Å
α = 90.00°, β = 90.00°, γ = 90.00°
Each line ends with the local moment (μB).
Fractional coordinates of all 5 atoms:
Pd 0.000 0.500 0.000  0.12
Pd 0.500 0.000 0.000  0.12
Pd 0.000 0.000 0.500  0.12
Cr 0.000 0.000 0.000  2.52
Pb 0.500 0.500 0.500  -0.03

3.
Computed, not measured: a relaxed structure of Y2CrPdPb at the PBEsol level of DFT.

Calculated values
Total moment, μB per formula unit: 4.26
Energy of formation from the pure elements, meV/atom: 81
DFT total energy, eV/atom: -6.69

a = 4.868 Å, b = 5.249 Å, c = 5.249 Å
α = 90.00°, β = 90.00°, γ = 90.00°
Each line ends with the local moment (μB).
Fractional coordinates of all 5 atoms:
Y 0.000 0.000 0.500  -0.03
Y 0.000 0.500 0.000  -0.03
Pd 0.000 0.000 0.000  0.16
Cr 0.500 0.000 0.000  3.72
Pb 0.500 0.500 0.500  -0.04

4.
Computed, not measured: a relaxed structure of CrPtPb2 at the PBEsol level of DFT.

Calculated values
Total moment, μB per formula unit: 4.00
Energy of formation from the pure elements, meV/atom: 449
DFT total energy, eV/atom: -5.85

a = 4.893 Å, b = 4.893 Å, c = 4.893 Å
α = 60.00°, β = 60.00°, γ = 60.00°
Each line ends with the local moment (μB).
Fractional coordinates of all 4 atoms:
Pb 0.750 0.750 0.750  -0.01
Pb 0.000 0.000 0.000  -0.04
Pt 0.250 0.250 0.250  0.07
Cr 0.500 0.500 0.500  3.64

Which value of total moment does entry 3 give? 4.26 μB per formula unit

Repeat the third record exactly.
Computed, not measured: a relaxed structure of Y2CrPdPb at the PBEsol level of DFT.

Calculated values
Total moment, μB per formula unit: 4.26
Energy of formation from the pure elements, meV/atom: 81
DFT total energy, eV/atom: -6.69

a = 4.868 Å, b = 5.249 Å, c = 5.249 Å
α = 90.00°, β = 90.00°, γ = 90.00°
Each line ends with the local moment (μB).
Fractional coordinates of all 5 atoms:
Y 0.000 0.000 0.500  -0.03
Y 0.000 0.500 0.000  -0.03
Pd 0.000 0.000 0.000  0.16
Cr 0.500 0.000 0.000  3.72
Pb 0.500 0.500 0.500  -0.04

DFT total energy of number 1 (CrPb3)? -5.09 eV/atom

Which value of DFT total energy does entry 2 give? -5.72 eV/atom